1.
Here is an optimized crystal structure of PmGa2Ru2 from Alexandria via LeMat-Bulk. Energies are from PBE.

The structure belongs to space group I4/mmm (No. 139); the cell edges are 4.488, 4.488 and 9.290 Å and the angles 90.00°, 90.00° and 90.00°. The inequivalent atoms are Pm at (0.000, 0.000, 0.000), Ga at (0.000, 0.000, 0.361) and Ru at (0.000, 0.500, 0.250).

The formation enthalpy at 0 K is -2.01 eV per formula unit. The total energy comes out at -6.2724 eV per atom. Its relative energy among the computed polymorphs is 0.005 eV/atom.

2.
Here is an optimized crystal structure of Pm3Ga3Ru2 from Alexandria via LeMat-Bulk. Energies are from PBE.

The structure belongs to space group Pnma (No. 62); the cell edges are 7.724, 15.398 and 5.896 Å and the angles 90.00°, 90.00° and 90.00°. The inequivalent atoms are Pm at (0.036, 0.107, 0.110), Pm at (0.169, 0.250, 0.627), Ga at (0.162, 0.037, 0.593), Ga at (0.174, 0.750, 0.616) and Ru at (0.134, 0.607, 0.371).

The formation enthalpy at 0 K is -4.20 eV per formula unit. The total energy comes out at -5.7611 eV per atom. Its relative energy among the computed polymorphs is 0.013 eV/atom.

3.
Here is an optimized crystal structure of Pm4Ga2Ru from Alexandria via LeMat-Bulk. Energies are from PBE.

The structure belongs to space group C2/m (No. 12); the cell edges are 11.158, 4.806 and 8.731 Å and the angles 90.00°, 129.07° and 90.00°. The inequivalent atoms are Pm at (0.081, 0.000, 0.374), Pm at (0.169, 0.500, 0.045), Ga at (0.160, 0.500, 0.675) and Ru at (0.000, 0.000, 0.000).

The formation enthalpy at 0 K is -2.94 eV per formula unit. The total energy comes out at -5.3251 eV per atom. Its relative energy among the computed polymorphs is 0.000 eV/atom.

4.
Here is an optimized crystal structure of PmGaRu from Alexandria via LeMat-Bulk. Energies are from PBE.

The structure belongs to space group P-6m2 (No. 187); the cell edges are 4.3637, 4.3637 and 3.8306 Å and the angles 90.00°, 90.00° and 120.00°. The inequivalent atoms are Pm at (0.0000, 0.0000, 0.0000), Ga at (0.3333, 0.6667, 0.5000) and Ru at (0.6667, 0.3333, 0.5000).

The formation enthalpy at 0 K is -1.23 eV per formula unit. The total energy comes out at -6.0935 eV per atom. Its relative energy among the computed polymorphs is 0.107 eV/atom.

5.
Here is an optimized crystal structure of Pm3GaRu2 from Alexandria via LeMat-Bulk. Energies are from PBE.

The structure belongs to space group C2/m (No. 12); the cell edges are 14.622, 4.251 and 10.927 Å and the angles 90.00°, 111.56° and 90.00°. The inequivalent atoms are Pm at (0.051, 0.000, 0.263), Pm at (0.145, 0.500, 0.002), Pm at (0.212, 0.000, 0.603), Ga at (0.093, 0.500, 0.692), Ru at (0.093, 0.500, 0.450) and Ru at (0.158, 0.000, 0.830).

The formation enthalpy at 0 K is -1.19 eV per formula unit. The total energy comes out at -6.1705 eV per atom. Its relative energy among the computed polymorphs is 0.077 eV/atom.

6.
Here is an optimized crystal structure of Pm12GaRu6 from Alexandria via LeMat-Bulk. Energies are from PBE.

The structure belongs to space group R-3 (No. 148, hexagonal axes); the cell edges are 13.0489, 13.0489 and 11.1629 Å and the angles 90.00°, 90.00° and 120.00°. The inequivalent atoms are Pm at (0.0326, 0.2036, 0.3813), Pm at (0.0334, 0.2216, 0.8894), Ga at (0.0000, 0.0000, 0.0000) and Ru at (0.0487, 0.2577, 0.6487).

The formation enthalpy at 0 K is -2.02 eV per formula unit. The total energy comes out at -6.1951 eV per atom. Its relative energy among the computed polymorphs is 0.092 eV/atom.

Question: formation enthalpy at 0 K of number 4 (PmGaRu)?
Answer: -1.23 eV per formula unit